Computed, not measured: an optimized crystal structure of Ho2WO6 at the GGA+U level of DFT.

```
Ho2WO6
1.0
-0.2276 -4.7060 -2.5933
-2.2636 -3.4613 6.4798
-11.4179 0.6698 -0.2132
O Ho W
24 8 4
Cartesian
-12.6634 -4.8256 3.9051
-9.1991 -5.1269 -0.8181
-9.4061 -2.3643 -0.0007
-5.6514 -4.4404 1.4353
-6.9703 -2.6634 -0.5183
-6.0173 -1.6771 1.8808
-6.8607 -7.4879 3.5268
-7.8917 -5.8205 1.7924
-2.0242 -2.8761 3.7061
-11.8849 -4.6215 -0.0329
-2.6116 -4.6933 1.6275
-8.2576 -3.0571 2.2380
-10.1931 -4.4103 3.7812
-12.3620 -2.8602 5.7858
-3.2716 -0.9448 1.7776
-4.7100 -2.3706 4.4914
-6.9387 -4.8341 4.1915
-10.6374 -6.5528 1.8956
-4.5030 -5.1332 3.6740
-1.5470 -4.6373 -2.1125
-1.2456 -2.6720 -0.2318
-3.7159 -3.0872 -0.1079
-7.0483 -0.0096 0.1465
-11.2974 -2.8042 2.0458
-9.8509 -4.4469 1.3064
-2.9137 -1.0566 -0.7278
-11.0346 -0.9607 0.6600
-4.0582 -3.0507 2.3669
-8.4395 -3.2275 4.5458
-5.4695 -4.2700 -0.8725
-8.7318 -2.9797 -2.0787
-2.8745 -6.5368 3.0133
-11.8012 -3.1139 3.8364
-7.7055 -1.7479 0.9981
-2.1078 -4.3836 -0.1632
-6.2036 -5.7496 2.6752
```

## Properties
- distance to the lowest polymorph of the same formula (eV per atom) = 0.000
- SG = P2/c (13)
- total moment (μB/f.u.) = 0.00
- calculated volume (Å³ per atom) = 12.71